VTe2Rh | GGA-PBE | relaxed

Cell lengths 8.8889, 8.8889, 8.8889 Å; angles 21.96, 21.96, 21.96 degrees
With the nearest neighbours (Å) after each atom.
Element x y z (fractional)
V (0.0000, 0.0000, 0.0000)  6 Te 2.66
Te (0.4026, 0.4026, 0.4026)  1 Rh 2.53, 3 V 2.66
Te (0.5974, 0.5974, 0.5974)  1 Rh 2.53, 3 V 2.66
Rh (0.5000, 0.5000, 0.5000)  2 Te 2.53

Summary:
- Calculated volume: 86.1 Å³ per cell
- Spin magnetization: 0.583 μB/f.u.
- Crystal system: trigonal
- Formation energy (no corrections): 0.12 eV/atom
- Offset from the most stable computed form: 0.395 eV per atom



VTe2Rh | GGA-PBE | relaxed

Cell lengths 4.3397, 5.5100, 7.5542 Å; angles 90.00, 91.64, 90.00 degrees
With the nearest neighbours (Å) after each atom.
Element x y z (fractional)
V (0.0000, 0.0000, 0.0000)  2 V 2.76, 4 Rh 2.79, 6 Te 2.90-2.99
V (0.0000, 0.5000, 0.0000)  2 V 2.76, 4 Rh 2.79, 6 Te 2.90-2.99
Te (0.0167, 0.2500, 0.3373)  2 Rh 2.62, 2 V 2.90
Te (0.4902, 0.2500, 0.7990)  3 Rh 2.60-2.79
Te (0.5098, 0.7500, 0.2010)  3 Rh 2.60-2.79
Te (0.9833, 0.7500, 0.6627)  2 Rh 2.62, 2 V 2.90
Rh (0.4927, 0.7500, 0.8561)  5 Te 2.60-2.79, 4 V 2.79
Rh (0.5073, 0.2500, 0.1439)  5 Te 2.60-2.79, 4 V 2.79

Summary:
- Calculated volume: 180.6 Å³ per cell
- Spin magnetization: 0.000 μB/f.u.
- Crystal system: monoclinic
- Formation energy (no corrections): -0.28 eV/atom
- Offset from the most stable computed form: 0.000 eV per atom



V3TeRh | GGA-PBE | relaxed

Cell lengths 4.6726, 4.6726, 4.6726 Å; angles 90.00, 90.00, 90.00 degrees
With the nearest neighbours (Å) after each atom.
Element x y z (fractional)
V (0.0000, 0.0000, 0.5000)  2 Rh 2.34
V (0.0000, 0.5000, 0.0000)  2 Rh 2.34
V (0.5000, 0.0000, 0.0000)  2 Rh 2.34
Te (0.5000, 0.5000, 0.5000)  12 V 3.30
Rh (0.0000, 0.0000, 0.0000)  6 V 2.34

Summary:
- Calculated volume: 102.0 Å³ per cell
- Spin magnetization: 4.881 μB/f.u.
- Crystal system: cubic
- Formation energy (no corrections): 0.77 eV/atom
- Offset from the most stable computed form: 0.000 eV per atom



VTeRh2 | GGA-PBE | relaxed

Cell lengths 9.1146, 9.1146, 9.1146 Å; angles 154.42, 154.42, 36.48 degrees
With the nearest neighbours (Å) after each atom.
Element x y z (fractional)
V (0.0000, 0.0000, 0.0000)  4 Rh 2.57, 4 Te 2.85
V (0.7500, 0.2500, 0.5000)  4 Rh 2.57, 4 Te 2.85
Te (0.2500, 0.7500, 0.5000)  4 Rh 2.62, 4 V 2.85
Te (0.5000, 0.5000, 0.0000)  4 Rh 2.62, 4 V 2.85
Rh (0.1090, 0.6250, 0.9840)  2 V 2.57, 2 Te 2.62, 2 Rh 2.76
Rh (0.3750, 0.3590, 0.4840)  2 V 2.57, 2 Te 2.62, 2 Rh 2.76
Rh (0.6410, 0.1250, 0.0160)  2 V 2.57, 2 Te 2.62, 2 Rh 2.76
Rh (0.8750, 0.8910, 0.5160)  2 V 2.57, 2 Te 2.62, 2 Rh 2.76

Summary:
- Calculated volume: 140.9 Å³ per cell
- Spin magnetization: 1.181 μB/f.u.
- Crystal system: tetragonal
- Formation energy (no corrections): 0.12 eV/atom



VTe2Rh | GGA-PBE | relaxed

Cell lengths 7.5283, 7.5283, 7.5283 Å; angles 133.77, 133.77, 67.44 degrees
With the nearest neighbours (Å) after each atom.
Element x y z (fractional)
V (0.0000, 0.0000, 0.0000)  4 Te 2.64
V (0.7500, 0.2500, 0.5000)  4 Te 2.64
Te (0.1324, 0.6250, 0.0074)  2 Rh 2.59, 2 V 2.64
Te (0.3750, 0.3824, 0.5074)  2 Rh 2.59, 2 V 2.64
Te (0.6176, 0.1250, 0.9926)  2 Rh 2.59, 2 V 2.64
Te (0.8750, 0.8676, 0.4926)  2 Rh 2.59, 2 V 2.64
Rh (0.2500, 0.7500, 0.5000)  4 Te 2.59
Rh (0.5000, 0.5000, 0.0000)  4 Te 2.59

Summary:
- Calculated volume: 218.7 Å³ per cell
- Spin magnetization: 1.873 μB/f.u.
- Crystal system: tetragonal
- Formation energy (no corrections): 0.07 eV/atom
- Offset from the most stable computed form: 0.349 eV per atom



V2ZnTeRh | GGA-PBE | relaxed

Cell lengths 4.9066, 4.9066, 4.9112 Å; angles 90.00, 90.00, 90.00 degrees
With the nearest neighbours (Å) after each atom.
Element x y z (fractional)
V (0.0000, 0.5000, 0.0000)  2 Te 2.45
V (0.5000, 0.0000, 0.0000)  2 Te 2.45
Zn (0.0000, 0.0000, 0.5000)  2 Te 2.46
Te (0.0000, 0.0000, 0.0000)  4 V 2.45, 2 Zn 2.46
Rh (0.5000, 0.5000, 0.5000)  4 Zn 3.47, 8 V 3.47

Summary:
- Calculated volume: 118.2 Å³ per cell
- Spin magnetization: 5.238 μB/f.u.
- Crystal system: tetragonal
- Formation energy (no corrections): 1.42 eV/atom



TeRh2W | GGA-PBE | relaxed

Cell lengths 4.0212, 4.0212, 4.0394 Å; angles 90.00, 90.00, 90.00 degrees
With the nearest neighbours (Å) after each atom.
Element x y z (fractional)
Te (0.0000, 0.0000, 0.0000)  4 W 2.84, 8 Rh 2.85
Rh (0.0000, 0.5000, 0.5000)  4 Rh 2.84, 4 W 2.85, 4 Te 2.85
Rh (0.5000, 0.0000, 0.5000)  4 Rh 2.84, 4 W 2.85, 4 Te 2.85
W (0.5000, 0.5000, 0.0000)  4 Te 2.84, 8 Rh 2.85

Summary:
- Calculated volume: 65.3 Å³ per cell
- Spin magnetization: 1.091 μB/f.u.
- Crystal system: tetragonal
- Formation energy (no corrections): 0.31 eV/atom



TeRh2W | GGA-PBE | relaxed

Cell lengths 2.9424, 2.9424, 7.9165 Å; angles 90.00, 90.00, 90.00 degrees
With the nearest neighbours (Å) after each atom.
Element x y z (fractional)
Te (0.0000, 0.0000, 0.0000)  4 Te 2.94, 8 Rh 3.03
Rh (0.5000, 0.5000, 0.2779)  4 W 2.72, 4 Rh 2.94, 4 Te 3.03
Rh (0.5000, 0.5000, 0.7221)  4 W 2.72, 4 Rh 2.94, 4 Te 3.03
W (0.0000, 0.0000, 0.5000)  8 Rh 2.72, 4 W 2.94

Summary:
- Calculated volume: 68.5 Å³ per cell
- Spin magnetization: 0.000 μB/f.u.
- Crystal system: tetragonal
- Formation energy (no corrections): 0.07 eV/atom



TeRh2W | GGA-PBE | relaxed

Cell lengths 4.7736, 4.7736, 4.8149 Å; angles 97.89, 97.89, 37.88 degrees
With the nearest neighbours (Å) after each atom.
Element x y z (fractional)
Te (0.0000, 0.0000, 0.0000)  6 Rh 2.70-2.94, 4 W 2.86
Rh (0.2422, 0.2422, 0.7307)  3 Te 2.70-2.94, 3 W 2.72-2.78, 4 Rh 2.73-3.01
Rh (0.7578, 0.7578, 0.2693)  3 Te 2.70-2.94, 3 W 2.72-2.78, 4 Rh 2.73-3.01
W (0.5000, 0.5000, 0.5000)  6 Rh 2.72-2.78, 4 Te 2.86

Summary:
- Calculated volume: 66.7 Å³ per cell
- Spin magnetization: 0.000 μB/f.u.
- Crystal system: monoclinic
- Formation energy (no corrections): 0.23 eV/atom



TeRh2W | GGA-PBE | relaxed

Cell lengths 8.8924, 8.8924, 8.8924 Å; angles 19.48, 19.48, 19.48 degrees
With the nearest neighbours (Å) after each atom.
Element x y z (fractional)
Te (0.0000, 0.0000, 0.0000)  3 Rh 2.70, 3 W 2.98, 6 Te 3.01
Rh (0.2542, 0.2542, 0.2542)  3 Te 2.70, 9 Rh 2.86-3.01
Rh (0.5006, 0.5006, 0.5006)  3 W 2.62, 3 Rh 2.86
W (0.7590, 0.7590, 0.7590)  3 Rh 2.62

Summary:
- Calculated volume: 68.4 Å³ per cell
- Spin magnetization: 0.000 μB/f.u.
- Crystal system: trigonal
- Formation energy (no corrections): 0.40 eV/atom



TeRh2W | GGA-PBE | relaxed

Cell lengths 3.2722, 4.3986, 4.5588 Å; angles 90.00, 90.00, 90.00 degrees
With the nearest neighbours (Å) after each atom.
Element x y z (fractional)
Te (0.0000, 0.0000, 0.0000)  4 Rh 2.74, 4 W 2.81
Rh (0.0000, 0.5000, 0.5000)  4 W 2.74, 4 Rh 2.81
Rh (0.5000, 0.5000, 0.0000)  4 Te 2.74, 4 Rh 2.81
W (0.5000, 0.0000, 0.5000)  4 Rh 2.74, 4 Te 2.81

Summary:
- Calculated volume: 65.6 Å³ per cell
- Spin magnetization: 0.000 μB/f.u.
- Crystal system: orthorhombic
- Formation energy (no corrections): 0.29 eV/atom



TeRh2W | GGA-PBE | relaxed

Cell lengths 4.8245, 4.8245, 2.9020 Å; angles 90.00, 90.00, 90.00 degrees
With the nearest neighbours (Å) after each atom.
Element x y z (fractional)
Te (0.0000, 0.0000, 0.0000)  8 Rh 2.82, 2 Te 2.90
Rh (0.0000, 0.5000, 0.5000)  4 W 2.82, 4 Te 2.82, 2 Rh 2.90
Rh (0.5000, 0.0000, 0.5000)  4 W 2.82, 4 Te 2.82, 2 Rh 2.90
W (0.5000, 0.5000, 0.0000)  8 Rh 2.82, 2 W 2.90

Summary:
- Calculated volume: 67.5 Å³ per cell
- Spin magnetization: 0.000 μB/f.u.
- Crystal system: tetragonal
- Formation energy (no corrections): 0.35 eV/atom



TeRh2W | GGA-PBE | relaxed

Cell lengths 4.9416, 4.9416, 4.9416 Å; angles 132.12, 132.12, 70.04 degrees
With the nearest neighbours (Å) after each atom.
Element x y z (fractional)
Te (0.0000, 0.0000, 0.0000)  4 W 2.84, 8 Rh 2.85
Rh (0.2500, 0.7500, 0.5000)  4 Rh 2.84, 4 W 2.85, 4 Te 2.85
Rh (0.7500, 0.2500, 0.5000)  4 Rh 2.84, 4 W 2.85, 4 Te 2.85
W (0.5000, 0.5000, 0.0000)  4 Te 2.84, 8 Rh 2.85

Summary:
- Calculated volume: 65.1 Å³ per cell
- Spin magnetization: 0.000 μB/f.u.
- Crystal system: tetragonal
- Formation energy (no corrections): 0.26 eV/atom



TeRh2W | GGA-PBE | relaxed

Cell lengths 3.3376, 3.3376, 6.0979 Å; angles 90.00, 90.00, 90.00 degrees
With the nearest neighbours (Å) after each atom.
Element x y z (fractional)
Te (0.0000, 0.0000, 0.0000)  5 Rh 2.73-2.95
Rh (0.0000, 0.0000, 0.5162)  4 W 2.63, 4 Rh 2.84
Rh (0.5000, 0.5000, 0.7742)  4 Te 2.73, 1 W 2.74, 4 Rh 2.84
W (0.5000, 0.5000, 0.3249)  5 Rh 2.63-2.74

Summary:
- Calculated volume: 67.9 Å³ per cell
- Spin magnetization: 0.000 μB/f.u.
- Crystal system: tetragonal
- Formation energy (no corrections): 0.25 eV/atom



TeRh2W | GGA-PBE | relaxed

Cell lengths 9.0237, 9.0237, 9.0237 Å; angles 19.04, 19.04, 19.04 degrees
With the nearest neighbours (Å) after each atom.
Element x y z (fractional)
Te (0.0000, 0.0000, 0.0000)  6 Rh 2.91, 6 Te 2.98
Rh (0.2449, 0.2449, 0.2449)  3 W 2.70, 3 Te 2.91, 6 Rh 2.98
Rh (0.7551, 0.7551, 0.7551)  3 W 2.70, 3 Te 2.91, 6 Rh 2.98
W (0.5000, 0.5000, 0.5000)  6 Rh 2.70, 6 W 2.98

Summary:
- Calculated volume: 68.3 Å³ per cell
- Spin magnetization: 0.000 μB/f.u.
- Crystal system: trigonal
- Formation energy (no corrections): 0.20 eV/atom



TeRh2W | GGA-PBE | relaxed

Cell lengths 3.0157, 3.8511, 5.7479 Å; angles 90.00, 90.00, 90.00 degrees
With the nearest neighbours (Å) after each atom.
Element x y z (fractional)
Te (0.0000, 0.0000, 0.0000)  2 W 2.87, 8 Rh 2.90, 2 Te 3.02
Rh (0.5000, 0.5000, 0.2710)  1 Rh 2.63, 4 W 2.78, 4 Te 2.90
Rh (0.5000, 0.5000, 0.7290)  1 Rh 2.63, 4 W 2.78, 4 Te 2.90
W (0.0000, 0.0000, 0.5000)  8 Rh 2.78, 2 Te 2.87, 2 W 3.02

Summary:
- Calculated volume: 66.8 Å³ per cell
- Spin magnetization: 0.000 μB/f.u.
- Crystal system: orthorhombic
- Formation energy (no corrections): 0.11 eV/atom



TeRh2W | GGA-PBE | relaxed

Cell lengths 4.8791, 4.8791, 2.9572 Å; angles 90.00, 90.00, 110.47 degrees
With the nearest neighbours (Å) after each atom.
Element x y z (fractional)
Te (0.0000, 0.0000, 0.0000)  2 W 2.78, 8 Rh 2.85, 2 Te 2.96
Rh (0.0000, 0.5000, 0.5000)  4 Rh 2.78-2.96, 4 W 2.85, 4 Te 2.85
Rh (0.5000, 0.0000, 0.5000)  4 Rh 2.78-2.96, 4 W 2.85, 4 Te 2.85
W (0.5000, 0.5000, 0.0000)  2 Te 2.78, 8 Rh 2.85, 2 W 2.96

Summary:
- Calculated volume: 66.0 Å³ per cell
- Spin magnetization: 0.000 μB/f.u.
- Crystal system: orthorhombic
- Formation energy (no corrections): 0.26 eV/atom



TeRh2W | GGA-PBE | relaxed

Cell lengths 4.8494, 4.8494, 4.8164 Å; angles 95.74, 95.74, 36.60 degrees
With the nearest neighbours (Å) after each atom.
Element x y z (fractional)
Te (0.0000, 0.0000, 0.0000)  5 Rh 2.59-2.88, 1 W 2.76
Rh (0.4979, 0.4979, 0.4913)  3 W 2.68-2.71, 4 Te 2.82-2.88, 3 Rh 2.83-2.89
Rh (0.7564, 0.7564, 0.2226)  1 Te 2.59, 2 W 2.68, 3 Rh 2.83-2.89
W (0.2286, 0.2286, 0.6725)  5 Rh 2.68-2.71, 1 Te 2.76

Summary:
- Calculated volume: 67.2 Å³ per cell
- Spin magnetization: 0.000 μB/f.u.
- Crystal system: monoclinic
- Formation energy (no corrections): 0.19 eV/atom



Te3RhW | GGA-PBE | relaxed

Cell lengths 5.2317, 5.2317, 5.2317 Å; angles 90.00, 90.00, 90.00 degrees
With the nearest neighbours (Å) after each atom.
Element x y z (fractional)
Te (0.0000, 0.0000, 0.5000)  2 W 2.62
Te (0.0000, 0.5000, 0.0000)  2 W 2.62
Te (0.5000, 0.0000, 0.0000)  2 W 2.62
Rh (0.5000, 0.5000, 0.5000)  12 Te 3.70
W (0.0000, 0.0000, 0.0000)  6 Te 2.62

Summary:
- Calculated volume: 143.2 Å³ per cell
- Spin magnetization: 0.000 μB/f.u.
- Crystal system: cubic
- Formation energy (no corrections): 1.13 eV/atom
- Offset from the most stable computed form: 0.000 eV per atom



TeRh2W | GGA-PBE | relaxed

Cell lengths 4.5237, 4.5237, 4.5237 Å; angles 60.00, 60.00, 60.00 degrees
With the nearest neighbours (Å) after each atom.
Element x y z (fractional)
Te (0.0000, 0.0000, 0.0000)  4 W 2.77, 4 Rh 2.77
Rh (0.5000, 0.5000, 0.5000)  4 W 2.77, 4 Rh 2.77
Rh (0.7500, 0.7500, 0.7500)  4 Te 2.77, 4 Rh 2.77
W (0.2500, 0.2500, 0.2500)  4 Te 2.77, 4 Rh 2.77

Summary:
- Calculated volume: 65.5 Å³ per cell
- Spin magnetization: 0.000 μB/f.u.
- Crystal system: cubic
- Formation energy (no corrections): 0.24 eV/atom